VASP calculation (GGA-PBE) on a relaxed structure of AgHgMo2Ir.

Summary:
**Space-group type**: No. 123
**ΔE_f**: 1.392 eV/atom
**Calculated volume**: 23.97 Å³/atom
**Calculated total energy**: -26.714 eV/cell

Cell lengths 4.8113, 5.1766, 4.8113 Å; angles 90.00, 90.00, 90.00 degrees
Sites, in units of the cell vectors:
Mo 0.0000 0.0000 0.5000
Ir 0.0000 0.0000 0.0000
Mo 0.5000 0.0000 0.0000
Hg 0.0000 0.5000 0.0000
Ag 0.5000 0.5000 0.5000

=====

VASP calculation (GGA-PBE) on a relaxed structure of Ag2HgMoIr.

Summary:
**Space-group type**: No. 123
**ΔE_f**: 1.563 eV/atom
**Calculated volume**: 26.12 Å³/atom
**Calculated total energy**: -17.880 eV/cell

Cell lengths 5.0611, 5.0986, 5.0611 Å; angles 90.00, 90.00, 90.00 degrees
Sites, in units of the cell vectors:
Ag 0.0000 0.0000 0.5000
Ag 0.5000 0.0000 0.0000
Ir 0.0000 0.0000 0.0000
Mo 0.5000 0.5000 0.5000
Hg 0.0000 0.5000 0.0000

=====

VASP calculation (GGA-PBE) on a relaxed structure of NiAgHgIr2.

Summary:
**Space-group type**: No. 123
**ΔE_f**: 1.909 eV/atom
**Calculated volume**: 21.69 Å³/atom
**Calculated total energy**: -17.113 eV/cell

Cell lengths 4.8779, 4.5586, 4.8779 Å; angles 90.00, 90.00, 90.00 degrees
Sites, in units of the cell vectors:
Hg 0.5000 0.5000 0.5000
Ag 0.0000 0.0000 0.0000
Ni 0.0000 0.5000 0.0000
Ir 0.0000 0.0000 0.5000
Ir 0.5000 0.0000 0.0000

=====

- The lowest calculated volume belongs to which entry?
  NiAgHgIr2